DFT (GGA-PBEsol) results for crystalline SrSc2P at its relaxed geometry.

Output
Formation energy from the elements (eV/atom): -0.386
Spin magnetization (μB/atom): 0.2156
Space group: R3m

a = 9.361 Å, b = 9.361 Å, c = 9.361 Å
α = 23.07°, β = 23.07°, γ = 23.07°
Fractional positions:
Sr: 0.000 0.000 0.000
Sc: 0.545 0.545 0.545
Sc: 0.784 0.784 0.784
P: 0.260 0.260 0.260

=====

DFT (GGA-PBEsol) results for crystalline SrScP2 at its relaxed geometry.

Output
Formation energy from the elements (eV/atom): -0.743
E above lowest polymorph (meV per atom): 346
Spin magnetization (μB/atom): 0.0208
Space group: C2/m

a = 5.168 Å, b = 5.168 Å, c = 2.978 Å
α = 90.26°, β = 90.26°, γ = 90.03°
Fractional positions:
Sr: 0.000 0.000 0.000
Sc: 0.500 0.500 0.000
P: 0.000 0.500 0.500
P: 0.500 0.000 0.500

=====

DFT (GGA-PBEsol) results for crystalline SrSc2P at its relaxed geometry.

Output
Formation energy from the elements (eV/atom): -0.442
Spin magnetization (μB/atom): 0.2535
Space group: Imm2

a = 8.169 Å, b = 8.169 Å, c = 8.169 Å
α = 155.54°, β = 152.18°, γ = 37.38°
Fractional positions:
Sr: 0.000 0.000 0.000
Sc: 0.328 0.328 0.000
Sc: 0.681 0.181 0.500
P: 0.187 0.687 0.500

=====

DFT (GGA-PBEsol) results for crystalline SrScP at its relaxed geometry.

Output
Formation energy from the elements (eV/atom): 0.455
E above lowest polymorph (meV per atom): 1073
Spin magnetization (μB/atom): 0.6113
Space group: F-43m

a = 4.861 Å, b = 4.861 Å, c = 4.861 Å
α = 60.00°, β = 60.00°, γ = 60.00°
Fractional positions:
Sr: 0.000 0.000 0.000
Sc: 0.750 0.750 0.750
P: 0.250 0.250 0.250

=====

DFT (GGA-PBEsol) results for crystalline SrScP2 at its relaxed geometry.

Output
Formation energy from the elements (eV/atom): -1.089
E above lowest polymorph (meV per atom): 0
Spin magnetization (μB/atom): 0.0000
Space group: R-3m

a = 7.014 Å, b = 7.014 Å, c = 7.014 Å
α = 32.88°, β = 32.88°, γ = 32.88°
Fractional positions:
Sr: 0.000 0.000 0.000
Sc: 0.500 0.500 0.500
P: 0.234 0.234 0.234
P: 0.766 0.766 0.766

=====

DFT (GGA-PBEsol) results for crystalline SrSc2P at its relaxed geometry.

Output
Formation energy from the elements (eV/atom): -0.144
Spin magnetization (μB/atom): 0.0000
Space group: I4/mmm

a = 5.888 Å, b = 5.888 Å, c = 5.888 Å
α = 137.32°, β = 137.32°, γ = 61.94°
Fractional positions:
Sr: 0.000 0.000 0.000
Sc: 0.250 0.750 0.500
Sc: 0.750 0.250 0.500
P: 0.500 0.500 0.000

=====

DFT (GGA-PBEsol) results for crystalline SrSc2P at its relaxed geometry.

Output
Formation energy from the elements (eV/atom): -0.614
Spin magnetization (μB/atom): 0.0000
Space group: R-3m

a = 9.381 Å, b = 9.381 Å, c = 9.381 Å
α = 22.90°, β = 22.90°, γ = 22.90°
Fractional positions:
Sr: 0.000 0.000 0.000
Sc: 0.217 0.217 0.217
Sc: 0.783 0.783 0.783
P: 0.500 0.500 0.500

=====

DFT (GGA-PBEsol) results for crystalline SrScP2 at its relaxed geometry.

Output
Formation energy from the elements (eV/atom): -0.880
E above lowest polymorph (meV per atom): 209
Spin magnetization (μB/atom): 0.0001
Space group: P4/mmm

a = 4.009 Å, b = 4.009 Å, c = 5.613 Å
α = 90.00°, β = 90.00°, γ = 90.00°
Fractional positions:
Sr: 0.000 0.000 0.000
Sc: 0.500 0.500 0.500
P: 0.000 0.000 0.500
P: 0.500 0.500 0.000

=====

DFT (GGA-PBEsol) results for crystalline SrSc2P at its relaxed geometry.

Output
Formation energy from the elements (eV/atom): -0.514
Spin magnetization (μB/atom): 0.1182
Space group: Pm

a = 4.008 Å, b = 4.179 Å, c = 6.561 Å
α = 90.00°, β = 107.71°, γ = 90.00°
Fractional positions:
Sr: 0.000 0.000 0.000
Sc: 0.264 0.500 0.531
Sc: 0.722 0.000 0.447
P: 0.608 0.500 0.217

=====

DFT (GGA-PBEsol) results for crystalline SrScP at its relaxed geometry.

Output
Formation energy from the elements (eV/atom): -0.617
E above lowest polymorph (meV per atom): 0
Spin magnetization (μB/atom): 0.0002
Space group: F-43m

a = 4.701 Å, b = 4.701 Å, c = 4.701 Å
α = 60.00°, β = 60.00°, γ = 60.00°
Fractional positions:
Sr: 0.000 0.000 0.000
Sc: 0.500 0.500 0.500
P: 0.750 0.750 0.750

=====

DFT (GGA-PBEsol) results for crystalline ScTaP at its relaxed geometry.

Output
Formation energy from the elements (eV/atom): -0.618
Spin magnetization (μB/atom): 0.0012
Space group: P3m1

a = 3.353 Å, b = 3.353 Å, c = 5.579 Å
α = 90.00°, β = 90.00°, γ = 120.00°
Fractional positions:
Sc: 0.000 0.000 0.000
Ta: 0.333 0.667 0.572
P: 0.667 0.333 0.303

=====

DFT (GGA-PBEsol) results for crystalline ScTa2P at its relaxed geometry.

Output
Formation energy from the elements (eV/atom): -0.254
Spin magnetization (μB/atom): 0.0000
Space group: Cm

a = 4.733 Å, b = 4.733 Å, c = 4.805 Å
α = 104.20°, β = 104.20°, γ = 40.31°
Fractional positions:
Sc: 0.000 0.000 0.000
Ta: 0.228 0.228 0.716
Ta: 0.460 0.460 0.449
P: 0.735 0.735 0.253

=====

DFT (GGA-PBEsol) results for crystalline ScTa2P at its relaxed geometry.

Output
Formation energy from the elements (eV/atom): -0.262
Spin magnetization (μB/atom): 0.0000
Space group: Pmmm

a = 3.569 Å, b = 4.181 Å, c = 4.414 Å
α = 90.00°, β = 90.00°, γ = 90.00°
Fractional positions:
Sc: 0.000 0.000 0.000
Ta: 0.000 0.500 0.500
Ta: 0.500 0.000 0.500
P: 0.500 0.500 0.000

=====

DFT (GGA-PBEsol) results for crystalline ScTaP2 at its relaxed geometry.

Output
Formation energy from the elements (eV/atom): -0.168
E above lowest polymorph (meV per atom): 559
Spin magnetization (μB/atom): 0.0000
Space group: R3m

a = 8.092 Å, b = 8.092 Å, c = 8.092 Å
α = 22.20°, β = 22.20°, γ = 22.20°
Fractional positions:
Sc: 0.000 0.000 0.000
Ta: 0.767 0.767 0.767
P: 0.245 0.245 0.245
P: 0.512 0.512 0.512

=====

DFT (GGA-PBEsol) results for crystalline Sc2TaP at its relaxed geometry.

Output
Formation energy from the elements (eV/atom): -0.458
Spin magnetization (μB/atom): 0.0073
Space group: P4mm

a = 3.258 Å, b = 3.258 Å, c = 7.115 Å
α = 90.00°, β = 90.00°, γ = 90.00°
Fractional positions:
Sc: 0.000 0.000 0.000
Sc: 0.500 0.500 0.338
Ta: 0.000 0.000 0.606
P: 0.500 0.500 0.760

=====

DFT (GGA-PBEsol) results for crystalline Sc2TaP at its relaxed geometry.

Output
Formation energy from the elements (eV/atom): -0.392
Spin magnetization (μB/atom): 0.0001
Space group: Cm

a = 5.638 Å, b = 5.638 Å, c = 4.750 Å
α = 114.65°, β = 114.65°, γ = 33.58°
Fractional positions:
Sc: 0.000 0.000 0.000
Sc: 0.195 0.195 0.694
Ta: 0.807 0.807 0.306
P: 0.492 0.492 0.492

=====

DFT (GGA-PBEsol) results for crystalline Sc2TaP at its relaxed geometry.

Output
Formation energy from the elements (eV/atom): -0.462
Spin magnetization (μB/atom): 0.0000
Space group: Amm2

a = 3.925 Å, b = 5.481 Å, c = 5.481 Å
α = 39.53°, β = 90.00°, γ = 90.00°
Fractional positions:
Sc: 0.000 0.000 0.000
Sc: 0.500 0.299 0.299
Ta: 0.500 0.582 0.582
P: 0.000 0.729 0.729

=====

DFT (GGA-PBEsol) results for crystalline Sc2TaP at its relaxed geometry.

Output
Formation energy from the elements (eV/atom): -0.327
Spin magnetization (μB/atom): 0.0000
Space group: P4/mmm

a = 4.172 Å, b = 4.172 Å, c = 3.924 Å
α = 90.00°, β = 90.00°, γ = 90.00°
Fractional positions:
Sc: 0.000 0.500 0.000
Sc: 0.500 0.000 0.000
Ta: 0.000 0.000 0.500
P: 0.500 0.500 0.500

=====

DFT (GGA-PBEsol) results for crystalline ScTaP2 at its relaxed geometry.

Output
Formation energy from the elements (eV/atom): -0.685
E above lowest polymorph (meV per atom): 42
Spin magnetization (μB/atom): 0.0001
Space group: P4/mmm

a = 4.435 Å, b = 4.435 Å, c = 3.137 Å
α = 90.00°, β = 90.00°, γ = 90.00°
Fractional positions:
Sc: 0.000 0.000 0.000
Ta: 0.500 0.500 0.000
P: 0.000 0.500 0.500
P: 0.500 0.000 0.500

=====

DFT (GGA-PBEsol) results for crystalline ScTa2P at its relaxed geometry.

Output
Formation energy from the elements (eV/atom): -0.209
Spin magnetization (μB/atom): 0.0000
Space group: Cmmm

a = 2.961 Å, b = 2.961 Å, c = 8.261 Å
α = 90.00°, β = 90.00°, γ = 106.12°
Fractional positions:
Sc: 0.000 0.000 0.000
Ta: 0.500 0.500 0.293
Ta: 0.500 0.500 0.707
P: 0.000 0.000 0.500